# 1
DFT (PBE) results for a relaxed Er2LuSc crystal.

Structure (POSCAR):
```
Er2LuSc
1.0
-4.438 2.295 2.227
-4.878 -2.422 -0.508
-2.377 -2.304 4.355
Sc Lu Er
1 1 2
Direct
0.500 0.500 0.500
0.000 0.000 0.000
0.250 0.250 0.250
0.750 0.750 0.750
```

Calculated values
The formation energy is 0.121 eV/atom. The value obtained for the energy above the most stable polymorph in this dataset is 0.0785 eV/atom. The calculation puts the uncorrected energy at -4.8740 eV/atom. The value obtained for the calculated density is 8.0 g cm⁻³. The volume is 115.7 Å³/f.u. The space-group type is Fm-3m, No. 225.

---

# 2
DFT (PBE) results for a relaxed Er2LuSc crystal.

Structure (POSCAR):
```
Er2LuSc
1.0
3.444 0.000 0.000
1.722 2.983 0.000
1.722 0.994 11.145
Sc Lu Er
1 1 2
Direct
0.000 0.000 0.000
0.500 0.500 0.500
0.748 0.748 0.757
0.252 0.252 0.243
```

Calculated values
The formation energy is 0.047 eV/atom. The value obtained for the energy above the most stable polymorph in this dataset is 0.0048 eV/atom. The calculation puts the uncorrected energy at -4.9477 eV/atom. The value obtained for the calculated density is 8.0 g cm⁻³. The volume is 114.5 Å³/f.u. The space-group type is R-3m, No. 166.

---

# 3
DFT (PBE) results for a relaxed ErLuSc2 crystal.

Structure (POSCAR):
```
ErLuSc2
1.0
-0.484 2.455 4.741
2.962 -1.611 4.167
3.969 3.106 1.828
Sc Lu Er
2 1 1
Direct
0.250 0.250 0.250
0.750 0.750 0.750
0.500 0.500 0.500
0.000 0.000 0.000
```

Calculated values
The formation energy is 0.105 eV/atom. The value obtained for the energy above the most stable polymorph in this dataset is 0.0535 eV/atom. The calculation puts the uncorrected energy at -5.3312 eV/atom. The value obtained for the calculated density is 6.6 g cm⁻³. The volume is 108.9 Å³/f.u. The space-group type is Fm-3m, No. 225.

---

# 4
DFT (PBE) results for a relaxed SmErLuSc crystal.

Structure (POSCAR):
```
SmErLuSc
1.0
5.511 0.000 0.000
2.756 4.773 0.000
2.756 1.591 4.500
Sc Lu Sm Er
1 1 1 1
Direct
0.000 0.000 0.000
0.500 0.500 0.500
0.750 0.750 0.750
0.250 0.250 0.250
```

Calculated values
The formation energy is 0.102 eV/atom. The calculation puts the uncorrected energy at -4.9320 eV/atom. The value obtained for the calculated density is 7.5 g cm⁻³. The volume is 118.4 Å³/f.u. The space-group type is F-43m, No. 216.

---

# 5
DFT (PBE) results for a relaxed TbErLuSc crystal.

Structure (POSCAR):
```
TbErLuSc
1.0
-5.101 -0.718 1.893
-3.629 -2.901 -2.922
-1.606 -4.947 1.751
Sc Lu Tb Er
1 1 1 1
Direct
0.000 0.000 0.000
0.500 0.500 0.500
0.250 0.250 0.250
0.750 0.750 0.750
```

Calculated values
The formation energy is 0.111 eV/atom. The calculation puts the uncorrected energy at -4.9006 eV/atom. The value obtained for the calculated density is 7.8 g cm⁻³. The volume is 116.9 Å³/f.u. The space-group type is F-43m, No. 216.

---

# 6
DFT (PBE) results for a relaxed ErLuThSc crystal.

Structure (POSCAR):
```
ErLuThSc
1.0
5.491 0.000 0.000
2.745 4.755 0.000
2.745 1.585 4.483
Sc Lu Th Er
1 1 1 1
Direct
0.000 0.000 0.000
0.500 0.500 0.500
0.250 0.250 0.250
0.750 0.750 0.750
```

Calculated values
The formation energy is 0.090 eV/atom. The calculation puts the uncorrected energy at -5.6186 eV/atom. The value obtained for the calculated density is 8.8 g cm⁻³. The volume is 117.1 Å³/f.u. The space-group type is F-43m, No. 216.

---

# 7
DFT (PBE) results for a relaxed ErLuScTl crystal.

Structure (POSCAR):
```
ErLuScTl
1.0
-2.141 2.409 -4.194
-4.989 1.745 0.213
-0.981 5.196 0.149
Sc Tl Lu Er
1 1 1 1
Direct
0.500 0.500 0.500
0.750 0.750 0.750
0.250 0.250 0.250
0.000 0.000 0.000
```

Calculated values
The formation energy is -0.015 eV/atom. The calculation puts the uncorrected energy at -4.4603 eV/atom. The value obtained for the calculated density is 9.4 g cm⁻³. The volume is 104.7 Å³/f.u. The space-group type is F-43m, No. 216.

---

# 8
DFT (PBE) results for a relaxed ErLuScZn crystal.

Structure (POSCAR):
```
ErLuScZn
1.0
-0.984 -2.932 -4.120
0.766 -5.090 0.218
-4.027 -3.212 0.027
Sc Zn Lu Er
1 1 1 1
Direct
0.750 0.750 0.750
0.250 0.250 0.250
0.000 0.000 0.000
0.500 0.500 0.500
```

Calculated values
The formation energy is 0.005 eV/atom. The calculation puts the uncorrected energy at -4.1675 eV/atom. The value obtained for the calculated density is 7.8 g cm⁻³. The volume is 96.7 Å³/f.u. The space-group type is F-43m, No. 216.

---

What did the second record say?
DFT (PBE) results for a relaxed Er2LuSc crystal.

Structure (POSCAR):
```
Er2LuSc
1.0
3.444 0.000 0.000
1.722 2.983 0.000
1.722 0.994 11.145
Sc Lu Er
1 1 2
Direct
0.000 0.000 0.000
0.500 0.500 0.500
0.748 0.748 0.757
0.252 0.252 0.243
```

Calculated values
The formation energy is 0.047 eV/atom. The value obtained for the energy above the most stable polymorph in this dataset is 0.0048 eV/atom. The calculation puts the uncorrected energy at -4.9477 eV/atom. The value obtained for the calculated density is 8.0 g cm⁻³. The volume is 114.5 Å³/f.u. The space-group type is R-3m, No. 166.